Entry 1:
The following is a DFT calculation (PBE) of crystalline AcHoBi2 at its relaxed geometry.

Unit cell a=4.6462 b=4.6462 c=15.3838 alpha=90.00 beta=90.00 gamma=120.00
Last column: nearest neighbours and their distance in Å.
Space group P6_3/mmc (No. 194)
Inequivalent atoms, fractional coordinates:
Ac 0.3333 0.6667 0.2500  6 Bi 3.43
Ho 0.0000 0.0000 0.0000  6 Bi 3.18
Bi 0.3333 0.6667 0.6113  3 Ho 3.18, 3 Ac 3.43

Calculated values
E_form: -3.463 eV per formula unit
final energy: -4.978 eV/atom
energy relative to the lowest polymorph listed for this composition: 36.6 meV per atom

Entry 2:
The following is a DFT calculation (PBE) of crystalline Ac2HoBi at its relaxed geometry.

Unit cell a=5.2776 b=5.2776 c=5.0842 alpha=90.00 beta=90.00 gamma=90.00
Last column: nearest neighbours and their distance in Å.
Space group P4/mmm (No. 123)
Inequivalent atoms, fractional coordinates:
Ac 0.0000 0.5000 0.0000  4 Ho 3.66, 4 Bi 3.66, 4 Ac 3.73
Ho 0.0000 0.0000 0.5000  8 Ac 3.66, 4 Bi 3.73
Bi 0.5000 0.5000 0.5000  8 Ac 3.66, 4 Ho 3.73

Calculated values
E_form: -1.294 eV per formula unit
final energy: -4.492 eV/atom
energy relative to the lowest polymorph listed for this composition: 4.2 meV per atom

Entry 3:
The following is a DFT calculation (PBE) of crystalline Ac5HoBi6 at its relaxed geometry.

Unit cell a=8.3419 b=14.4506 c=8.3417 alpha=90.00 beta=109.55 gamma=90.00
Last column: nearest neighbours and their distance in Å.
Space group C2/m (No. 12)
Inequivalent atoms, fractional coordinates:
Ac 0.0000 0.0000 0.0000  6 Bi 3.41-3.53
Ac 0.0000 0.1651 0.5000  6 Bi 3.41-3.42
Ac 0.0000 0.3294 0.0000  6 Bi 3.41-3.50
Ho 0.0000 0.5000 0.5000  6 Bi 3.27-3.29
Bi 0.2378 0.5000 0.2551  1 Ho 3.29, 5 Ac 3.41-3.53
Bi 0.2399 0.3397 0.7405  1 Ho 3.27, 5 Ac 3.41-3.50

Calculated values
E_form: -11.468 eV per formula unit
final energy: -4.989 eV/atom

Entry 4:
The following is a DFT calculation (PBE) of crystalline AcHoBi2 at its relaxed geometry.

Unit cell a=8.0762 b=8.0762 c=8.0762 alpha=90.00 beta=90.00 gamma=90.00
Last column: nearest neighbours and their distance in Å.
Space group Fm-3m (No. 225)
Inequivalent atoms, fractional coordinates:
Ac 0.0000 0.0000 0.0000  8 Bi 3.50
Ho 0.0000 0.0000 0.5000  8 Bi 3.50
Bi 0.2500 0.2500 0.2500  4 Ac 3.50, 4 Ho 3.50

Calculated values
E_form: -2.579 eV per formula unit
final energy: -4.757 eV/atom
energy relative to the lowest polymorph listed for this composition: 257.6 meV per atom

Entry 5:
The following is a DFT calculation (PBE) of crystalline AcHoBi at its relaxed geometry.

Unit cell a=5.3548 b=5.3548 c=4.3678 alpha=90.00 beta=90.00 gamma=120.00
Last column: nearest neighbours and their distance in Å.
Space group P-6m2 (No. 187)
Inequivalent atoms, fractional coordinates:
Ac 0.0000 0.0000 0.0000  6 Bi 3.79, 6 Ho 3.79
Ho 0.3333 0.6667 0.5000  3 Bi 3.09
Bi 0.6667 0.3333 0.5000  3 Ho 3.09

Calculated values
E_form: -0.985 eV per formula unit
final energy: -4.517 eV/atom
energy relative to the lowest polymorph listed for this composition: 292.3 meV per atom

Entry 6:
The following is a DFT calculation (PBE) of crystalline AcHoBi at its relaxed geometry.

Unit cell a=4.7736 b=4.7736 c=9.2228 alpha=90.00 beta=90.00 gamma=90.00
Last column: nearest neighbours and their distance in Å.
Space group P4/nmm (No. 129, origin choice 2)
Inequivalent atoms, fractional coordinates:
Ac 0.2500 0.2500 0.1512  5 Bi 3.48-3.62
Ho 0.2500 0.7500 0.5000  4 Ho 3.38, 4 Bi 3.38
Bi 0.2500 0.2500 0.7591  4 Ho 3.38, 5 Ac 3.48-3.62

Calculated values
E_form: -1.861 eV per formula unit
final energy: -4.810 eV/atom
energy relative to the lowest polymorph listed for this composition: 0.0 meV per atom

The V results, record by record, are as follows: 35.95, 35.40, 39.48, 32.92, 36.15, 35.03 Å³/atom.